No. 1
# Nd2AlPd6Pt

A relaxed Nd2AlPd6Pt crystal (PBE-GGA, Alexandria).

Calculated values
Total DFT energy (no corrections) (eV for the cell shown): -338.15
Magnetization (Bohr magnetons per cell): 0.000
Crystal system: trigonal
Formation energy from the elements (eV/atom): -0.5882

Cell lengths 6.4660, 6.4660, 33.6617 Å; angles 90.00, 90.00, 120.00 degrees
Last column: nearest neighbours and their distance in Å.
Space group R-3m (No. 166, hexagonal axes)
Asymmetric unit:
1 Nd 0.0000 0.0000 0.1164  9 Pd 3.13-3.31
2 Nd 0.0000 0.0000 0.2828  12 Pd 3.13-3.32
3 Al 0.0000 0.0000 0.0000  6 Pd 2.37
4 Al 0.0000 0.0000 0.5000  6 Pd 2.46, 2 Pt 2.49
5 Pd 0.0498 0.5249 0.3037  1 Al 2.37
6 Pd 0.0630 0.5315 0.8647  1 Al 2.46, 2 Pd 2.62, 1 Pt 2.64
7 Pt 0.0000 0.0000 0.4262  1 Al 2.49, 6 Pd 2.64-2.65



No. 2
# Tb3Er2Tm4

A relaxed Tb3Er2Tm4 crystal (PBE-GGA, Alexandria).

Calculated values
Total DFT energy (no corrections) (eV for the cell shown): -159.77
Magnetization (Bohr magnetons per cell): 0.005
Crystal system: monoclinic
Polymorph energy (0 for the lowest one) (meV per atom): 0.0
Formation energy from the elements (eV/atom): 0.1067

Cell lengths 16.1483, 11.4135, 6.0161 Å; angles 90.00, 96.37, 90.00 degrees
Last column: nearest neighbours and their distance in Å.
Space group C2/c (No. 15)
Asymmetric unit:
1 Tb 0.0000 0.0979 0.2500  4 Er 3.34-3.45, 4 Tm 3.43-3.47
2 Tb 0.1663 0.4021 0.0854  6 Tm 3.33-3.46, 2 Er 3.44-3.46
3 Er 0.1206 0.1399 0.8190  4 Tm 3.26-3.52, 4 Tb 3.34-3.46
4 Tm 0.0465 0.3602 0.5149  1 Er 3.26, 4 Tb 3.33-3.46, 3 Tm 3.35-3.52
5 Tm 0.2139 0.1396 0.3479  1 Tm 3.25, 4 Tb 3.33-3.47, 3 Er 3.35-3.52



No. 3
# NdTlRh

A relaxed NdTlRh crystal (PBE-GGA, Alexandria).

Calculated values
Total DFT energy (no corrections) (eV for the cell shown): -96.43
Magnetization (Bohr magnetons per cell): 0.000
Crystal system: orthorhombic
Formation energy from the elements (eV/atom): -0.5288

Cell lengths 13.4747, 3.9601, 7.9531 Å; angles 90.00, 90.00, 90.00 degrees
Last column: nearest neighbours and their distance in Å.
Space group Pmma (No. 51)
Asymmetric unit:
1 Nd 0.0467 0.0000 0.2246  5 Rh 3.05-3.25, 4 Tl 3.38-3.39
2 Nd 0.2500 0.0000 0.8470  5 Rh 2.96-3.20
3 Tl 0.1176 0.5000 0.5726  3 Rh 2.85-2.93
4 Tl 0.2500 0.5000 0.1905  4 Rh 2.83-2.88
5 Rh 0.0960 0.5000 0.9393  1 Rh 2.76, 2 Tl 2.88-2.93, 6 Nd 2.96-3.08
6 Rh 0.2500 0.0000 0.4446  6 Tl 2.83-2.85